Entry 1:
Material: MnTc2
Method: DFT, GGA-PBE
State: optimized geometry

abc: 5.0847 5.0847 5.0847
angles: 60.00 60.00 60.00
Closest atoms and distances in Å follow each position.
Fractional coordinates of all 6 atoms:
Mn: 0.1250 0.1250 0.1250  12 Tc 2.98, 4 Mn 3.11
Mn: 0.8750 0.8750 0.8750  12 Tc 2.98, 4 Mn 3.11
Tc: 0.0000 0.5000 0.5000  6 Tc 2.54
Tc: 0.5000 0.0000 0.5000  6 Tc 2.54
Tc: 0.5000 0.5000 0.0000  6 Tc 2.54
Tc: 0.5000 0.5000 0.5000  6 Tc 2.54

Output
Space-group type: Fd-3m
Formation enthalpy at 0 K, eV/atom: 0.3700
Total moment, Bohr magnetons per cell: 5.40

---

Entry 2:
Material: InTeS
Method: DFT, GGA-PBE
State: optimized geometry

abc: 7.2584 5.6854 8.3541
angles: 90.00 90.96 90.00
Closest atoms and distances in Å follow each position.
Fractional coordinates of all 12 atoms:
In: 0.1443 0.2017 0.3756  3 S 2.56-2.64, 1 Te 2.77
In: 0.1443 0.2983 0.8756  3 S 2.56-2.64, 1 Te 2.77
In: 0.8557 0.7017 0.1244  3 S 2.56-2.64, 1 Te 2.77
In: 0.8557 0.7983 0.6244  3 S 2.56-2.64, 1 Te 2.77
Te: 0.4839 0.6864 0.6178  1 In 2.77, 1 Te 2.90
Te: 0.4839 0.8136 0.1178  1 In 2.77, 1 Te 2.90
Te: 0.5161 0.1864 0.8822  1 In 2.77, 1 Te 2.90
Te: 0.5161 0.3136 0.3822  1 In 2.77, 1 Te 2.90
S: 0.0563 0.7489 0.8772  3 In 2.56-2.64
S: 0.0563 0.7511 0.3772  3 In 2.56-2.64
S: 0.9437 0.2489 0.6228  3 In 2.56-2.64
S: 0.9437 0.2511 0.1228  3 In 2.56-2.64

Output
Space-group type: P2_1/c
Energy relative to the elements, uncorrected, eV/f.u.: -1.0
Total moment, Bohr magnetons per cell: 0.00

---

Number 1: excess energy over the best structure of this formula in the dataset 370 meV/atom, total energy -57.58 eV per cell. Number 2: excess energy over the best structure of this formula in the dataset 0 meV/atom, total energy -44.07 eV per cell.